Arrangement 1

The following is a PBE-GGA calculation of a relaxed structure of Be3Os2, from Alexandria via LeMat-Bulk.

Cell: 9.5228 9.5228 9.5228 Å, 16.15 16.15 16.15°
Positions (direct):
Be  0.0000  0.0000  0.0000
Be  0.7996  0.7996  0.7996
Be  0.2004  0.2004  0.2004
Os  0.4003  0.4003  0.4003
Os  0.5997  0.5997  0.5997

Space group ... R-3m (166)

=====

Arrangement 2

The following is a PBE-GGA calculation of a relaxed structure of Be3Os2, from Alexandria via LeMat-Bulk.

Cell: 4.0751 4.0751 4.5854 Å, 90.00 90.00 120.00°
Positions (direct):
Be  0.0000  0.0000  0.0000
Be  0.6667  0.3333  0.5912
Be  0.3333  0.6667  0.4088
Os  0.6667  0.3333  0.0972
Os  0.3333  0.6667  0.9028

Space group ... P-3m1 (164)

=====

From most stable to least stable, the computed energies give arrangement 1, arrangement 2.

=====

Arrangement 1

The following is a PBE-GGA calculation of a relaxed structure of Be2POs2, from Alexandria via LeMat-Bulk.

Cell: 6.0468 6.0468 3.0727 Å, 90.00 90.00 90.00°
Positions (direct):
P  0.0000  0.0000  0.0000
P  0.5000  0.5000  0.0000
Os  0.1726  0.6726  0.5000
Os  0.6726  0.8274  0.5000
Os  0.8274  0.3274  0.5000
Os  0.3274  0.1726  0.5000
Be  0.3782  0.8782  0.0000
Be  0.8782  0.6218  0.0000
Be  0.6218  0.1218  0.0000
Be  0.1218  0.3782  0.0000

Space group ... P4/mbm (127)

=====

Arrangement 2

The following is a PBE-GGA calculation of a relaxed structure of Be2POs2, from Alexandria via LeMat-Bulk.

Cell: 6.1580 6.1580 3.1874 Å, 90.00 90.00 90.00°
Positions (direct):
P  0.0000  0.0000  0.0000
P  0.5000  0.5000  0.0000
Os  0.3378  0.8378  0.0000
Os  0.8378  0.6622  0.0000
Os  0.6622  0.1622  0.0000
Os  0.1622  0.3378  0.0000
Be  0.1304  0.6304  0.5000
Be  0.6304  0.8696  0.5000
Be  0.8696  0.3696  0.5000
Be  0.3696  0.1304  0.5000

Space group ... P4/mbm (127)

=====

From most stable to least stable, the computed energies give arrangement 2, arrangement 1.

=====

Arrangement 1

The following is a PBE-GGA calculation of a relaxed structure of Be3POs, from Alexandria via LeMat-Bulk.

Cell: 4.2052 4.2052 4.2052 Å, 90.00 90.00 90.00°
Positions (direct):
P  0.5000  0.5000  0.5000
Os  0.0000  0.0000  0.0000
Be  0.0000  0.5000  0.0000
Be  0.0000  0.0000  0.5000
Be  0.5000  0.0000  0.0000

Space group ... Pm-3m (221)

=====

Arrangement 2

The following is a PBE-GGA calculation of a relaxed structure of Be3POs, from Alexandria via LeMat-Bulk.

Cell: 3.9783 3.9783 3.9783 Å, 90.00 90.00 90.00°
Each line ends with the local moment (μB).
Positions (direct):
P  0.0000  0.0000  0.0000  0.04
Os  0.5000  0.5000  0.5000  0.98
Be  0.0000  0.5000  0.0000  -0.01
Be  0.0000  0.0000  0.5000  -0.02
Be  0.5000  0.0000  0.0000  -0.02

Space group ... Pm-3m (221)

=====

From most stable to least stable, the computed energies give arrangement 2, arrangement 1.

=====

Arrangement 1

The following is a PBE-GGA calculation of a relaxed structure of Pa2BeOs3, from Alexandria via LeMat-Bulk.

Cell: 4.9780 4.9780 4.9780 Å, 67.92 67.92 67.92°
Positions (direct):
Pa  0.3732  0.3732  0.3732
Pa  0.6268  0.6268  0.6268
Be  0.0000  0.0000  0.0000
Os  0.0000  0.0000  0.5000
Os  0.5000  0.0000  0.0000
Os  0.0000  0.5000  0.0000

Space group ... R-3m (166)

=====

Arrangement 2

The following is a PBE-GGA calculation of a relaxed structure of Pa2BeOs3, from Alexandria via LeMat-Bulk.

Cell: 5.5717 5.5717 7.6159 Å, 90.00 90.00 120.00°
Positions (direct):
Pa  0.6667  0.3333  0.4381
Pa  0.3333  0.6667  0.5619
Pa  0.3333  0.6667  0.9381
Pa  0.6667  0.3333  0.0619
Be  0.0000  0.0000  0.5000
Be  0.0000  0.0000  0.0000
Os  0.1639  0.3279  0.2500
Os  0.3279  0.1639  0.7500
Os  0.8361  0.6721  0.7500
Os  0.1639  0.8361  0.2500
Os  0.8361  0.1639  0.7500
Os  0.6721  0.8361  0.2500

Space group ... P6_3/mmc (194)

=====

From most stable to least stable, the computed energies give arrangement 1, arrangement 2.